The following is a PBE calculation of a relaxed structure of PrZr2P4, from the Alexandria database.

Values from the calculation:
ΔE_f: -1035 meV per atom
total DFT energy (no corrections): -7.2511 eV/atom
space group: Cmcm (63)

a = 6.6260 Å, b = 6.6260 Å, c = 12.1144 Å
α = 90.00°, β = 90.00°, γ = 146.16°
Last column: nearest neighbours and their distance in Å.
Atoms (fractional coordinates):
Pr (0.1009, 0.8991, 0.7500)  6 P 2.88-2.99
Pr (0.8991, 0.1009, 0.2500)  6 P 2.88-2.99
Zr (0.3643, 0.6357, 0.5525)  6 P 2.54-2.66
Zr (0.3643, 0.6357, 0.9475)  6 P 2.54-2.66
Zr (0.6357, 0.3643, 0.0525)  6 P 2.54-2.66
Zr (0.6357, 0.3643, 0.4475)  6 P 2.54-2.66
P (0.0000, 0.0000, 0.0000)  4 Zr 2.66
P (0.0000, 0.0000, 0.5000)  4 Zr 2.66
P (0.2571, 0.7429, 0.1343)  3 Zr 2.64-2.66, 1 P 2.80
P (0.2571, 0.7429, 0.3657)  3 Zr 2.64-2.66, 1 P 2.80
P (0.4322, 0.5678, 0.7500)  2 Zr 2.54
P (0.5678, 0.4322, 0.2500)  2 Zr 2.54
P (0.7429, 0.2571, 0.6343)  3 Zr 2.64-2.66, 1 P 2.80
P (0.7429, 0.2571, 0.8657)  3 Zr 2.64-2.66, 1 P 2.80